Below is KBiPt after structural relaxation, with properties calculated at the GGA-PBE level.

**E above lowest polymorph**: 1159 meV/atom

The structure in CIF format:
```
data_KBiPt
_symmetry_space_group_name_H-M 'F -4 3 m'
_symmetry_Int_Tables_number 216
_symmetry_space_group_name_Hall 'F -4 2 3'
_cell_length_a 7.1554
_cell_length_b 7.1554
_cell_length_c 7.1554
_cell_angle_alpha 90.00
_cell_angle_beta 90.00
_cell_angle_gamma 90.00
loop_
_atom_site_label
_atom_site_fract_x
_atom_site_fract_y
_atom_site_fract_z
K1 0.0000 0.0000 0.0000
Bi1 0.2500 0.2500 0.7500
Pt1 0.2500 0.2500 0.2500
```

Below is KBiPt after structural relaxation, with properties calculated at the GGA-PBE level.

**E above lowest polymorph**: 383 meV/atom

The structure in CIF format:
```
data_KBiPt
_symmetry_space_group_name_H-M 'F -4 3 m'
_symmetry_Int_Tables_number 216
_symmetry_space_group_name_Hall 'F -4 2 3'
_cell_length_a 7.0441
_cell_length_b 7.0441
_cell_length_c 7.0441
_cell_angle_alpha 90.00
_cell_angle_beta 90.00
_cell_angle_gamma 90.00
loop_
_atom_site_label
_atom_site_fract_x
_atom_site_fract_y
_atom_site_fract_z
K1 0.0000 0.0000 0.0000
Bi1 0.0000 0.0000 0.5000
Pt1 0.2500 0.2500 0.7500
```

Below is K2Bi2Pt3 after structural relaxation, with properties calculated at the GGA-PBE level.

The structure in CIF format:
```
data_K2Bi2Pt3
_symmetry_space_group_name_H-M 'R 3 m'
_symmetry_Int_Tables_number 160
_symmetry_space_group_name_Hall 'R 3 -2"'
_cell_length_a 4.7686
_cell_length_b 4.7686
_cell_length_c 30.7401
_cell_angle_alpha 90.00
_cell_angle_beta 90.00
_cell_angle_gamma 120.00
loop_
_atom_site_label
_atom_site_fract_x
_atom_site_fract_y
_atom_site_fract_z
K1 0.0000 0.0000 0.0000
K2 0.0000 0.0000 0.4933
Bi1 0.0000 0.0000 0.2499
Bi2 0.0000 0.0000 0.7380
Pt1 0.0000 0.0000 0.3953
Pt2 0.0000 0.0000 0.5928
Pt3 0.0000 0.0000 0.8995
```

Below is KBiSbPt2 after structural relaxation, with properties calculated at the GGA-PBE level.

The structure in CIF format:
```
data_KBiSbPt2
_symmetry_space_group_name_H-M 'C 1 m 1'
_symmetry_Int_Tables_number 8
_symmetry_space_group_name_Hall 'C -2y'
_cell_length_a 6.3262
_cell_length_b 7.2424
_cell_length_c 6.5659
_cell_angle_alpha 90.00
_cell_angle_beta 113.73
_cell_angle_gamma 90.00
loop_
_atom_site_label
_atom_site_fract_x
_atom_site_fract_y
_atom_site_fract_z
K1 0.0000 0.0000 0.0000
Bi1 0.1106 0.5000 0.2980
Sb1 0.3919 0.0000 0.6887
Pt1 0.0084 0.2000 0.5156
```

Below is KPuBi after structural relaxation, with properties calculated at the GGA-PBE level.

The structure in CIF format:
```
data_KPuBi
_symmetry_space_group_name_H-M 'F -4 3 m'
_symmetry_Int_Tables_number 216
_symmetry_space_group_name_Hall 'F -4 2 3'
_cell_length_a 7.8974
_cell_length_b 7.8974
_cell_length_c 7.8974
_cell_angle_alpha 90.00
_cell_angle_beta 90.00
_cell_angle_gamma 90.00
loop_
_atom_site_label
_atom_site_fract_x
_atom_site_fract_y
_atom_site_fract_z
K1 0.0000 0.0000 0.0000
Pu1 0.0000 0.0000 0.5000
Bi1 0.2500 0.2500 0.2500
```

Below is KRbZn2Bi2 after structural relaxation, with properties calculated at the GGA-PBE level.

**E above lowest polymorph**: 35 meV/atom

The structure in CIF format:
```
data_KRbZn2Bi2
_symmetry_space_group_name_H-M 'P 4 m m'
_symmetry_Int_Tables_number 99
_symmetry_space_group_name_Hall 'P 4 -2'
_cell_length_a 4.8433
_cell_length_b 4.8433
_cell_length_c 8.4161
_cell_angle_alpha 90.00
_cell_angle_beta 90.00
_cell_angle_gamma 90.00
loop_
_atom_site_label
_atom_site_fract_x
_atom_site_fract_y
_atom_site_fract_z
K1 0.0000 0.0000 0.0000
Rb1 0.5000 0.5000 0.3392
Zn1 0.0000 0.5000 0.6790
Bi1 0.0000 0.0000 0.4894
Bi2 0.5000 0.5000 0.8711
```

no.,final energy (eV per formula unit),ρ (g/cm3)
1,-8.8,8.0
2,-11.1,8.4
3,-29.1,8.9
4,-23.5,9.2
5,-19.5,6.6
6,-14.2,5.7